# 1
meta-GGA SCAN LiScHg2, PBEsol geometry; DFT total energy = -155.07 eV per formula unit; DOS at the Fermi energy = 2.13 states/eV/f.u.; total magnetic moment = 0.0 μB per formula unit; energy above the most stable polymorph in this dataset = 44 meV per atom; V = 18.97 Å³/atom
1.0
3.294 0.000 0.000
0.000 3.294 0.000
0.000 0.000 6.993
Sc Hg Li
1 2 1
Cartesian
1.647 1.647 3.496
0.000 0.000 5.384
0.000 0.000 1.609
1.647 1.647 0.000

# 2
meta-GGA SCAN Li2ScHg2, PBEsol geometry; DFT total energy = -157.45 eV per formula unit; DOS at the Fermi energy = 2.70 states/eV/f.u.; total magnetic moment = 0.0 μB per formula unit; energy above the most stable polymorph in this dataset = 23 meV per atom; V = 19.11 Å³/atom
1.0
3.727 0.000 0.000
0.000 3.727 0.000
-1.864 -1.864 6.877
Sc Hg Li
1 2 2
Cartesian
0.000 0.000 0.000
0.000 0.000 5.414
1.864 1.864 1.463
0.000 1.864 3.438
1.864 0.000 3.438

# 3
meta-GGA SCAN LiSc2Hg, PBEsol geometry; DFT total energy = -100.12 eV per formula unit; DOS at the Fermi energy = 3.86 states/eV/f.u.; total magnetic moment = 0.0 μB per formula unit; V = 20.40 Å³/atom
1.0
3.465 0.000 0.000
0.000 3.465 0.000
0.000 0.000 6.796
Hg Li Sc
1 1 2
Cartesian
1.733 1.733 0.000
1.733 1.733 3.398
0.000 0.000 5.055
0.000 0.000 1.741

# 4
meta-GGA SCAN LiScHg2, PBEsol geometry; DFT total energy = -154.38 eV per formula unit; DOS at the Fermi energy = 2.28 states/eV/f.u.; total magnetic moment = 0.0 μB per formula unit; energy above the most stable polymorph in this dataset = 214 meV per atom; V = 20.97 Å³/atom
1.0
-0.612 -2.880 -1.643
-1.272 -2.648 1.655
-8.518 0.843 -1.765
Hg Li Sc
2 1 1
Cartesian
-2.673 -1.146 -0.455
-7.728 -3.538 -1.299
-5.201 -2.342 -0.877
0.000 0.000 0.000

# 5
meta-GGA SCAN LiSc2Hg, PBEsol geometry; DFT total energy = -100.22 eV per formula unit; DOS at the Fermi energy = 2.52 states/eV/f.u.; total magnetic moment = 1.1 μB per formula unit; V = 20.34 Å³/atom
1.0
-1.458 1.017 3.009
1.154 -2.915 1.544
5.640 3.122 1.678
Sc Hg Li
2 1 1
Cartesian
5.538 3.065 1.647
1.391 -0.095 2.736
2.934 1.624 0.873
3.935 1.313 3.492

# 6
meta-GGA SCAN Li3HgSe, PBEsol geometry; DFT total energy = -99.11 eV per formula unit; DOS at the Fermi energy = 2.34 states/eV/f.u.; total magnetic moment = 0.0 μB per formula unit; formation energy from raw total energies = -0.74 eV per atom; V = 21.76 Å³/atom
1.0
4.774 0.000 0.000
0.000 4.774 0.000
0.000 0.000 4.774
Hg Se Li
1 1 3
Cartesian
2.387 2.387 2.387
0.000 0.000 0.000
0.000 2.387 0.000
0.000 0.000 2.387
2.387 0.000 0.000